(1)
First-principles (PBE) data for a relaxed Cd2InSnHg5 crystal, as listed in Alexandria via LeMat-Bulk.

Output
- Space group: Cmc2_1
- Calculated formation energy: 41 meV/atom
- DOS(E_F): 0.350 states/eV/atom
- E_tot: -1.0794 eV per atom
- Crystal system: orthorhombic

Geometry as POSCAR:
```
Cd2InSnHg5
1.0
1.612 -8.608 0.000
1.612 8.608 0.000
0.000 0.000 16.871
Cd In Sn Hg
4 2 2 10
Direct
0.136 0.864 0.500
0.144 0.856 0.823
0.856 0.144 0.323
0.864 0.136 0.000
0.479 0.521 0.598
0.521 0.479 0.098
0.178 0.822 0.167
0.822 0.178 0.667
0.026 0.974 0.266
0.312 0.688 0.492
0.316 0.684 0.843
0.354 0.646 0.163
0.488 0.512 0.422
0.512 0.488 0.922
0.646 0.354 0.663
0.684 0.316 0.343
0.688 0.312 0.992
0.974 0.026 0.766
```

=====

(2)
First-principles (PBE) data for a relaxed Cd2In2SnHg4 crystal, as listed in Alexandria via LeMat-Bulk.

Output
- Space group: C2/m
- Calculated formation energy: 40 meV/atom
- DOS(E_F): 0.382 states/eV/atom
- E_tot: -1.3504 eV per atom
- Crystal system: monoclinic

Geometry as POSCAR:
```
Cd2In2SnHg4
1.0
7.180 -1.975 0.000
7.180 1.975 0.000
-1.765 0.000 8.286
Cd In Sn Hg
2 2 1 4
Direct
0.166 0.166 0.466
0.834 0.834 0.534
0.365 0.365 0.899
0.635 0.635 0.101
0.500 0.500 0.500
0.024 0.024 0.811
0.300 0.300 0.226
0.700 0.700 0.774
0.976 0.976 0.189
```

=====

(3)
First-principles (PBE) data for a relaxed CdIn2Sn2Hg6 crystal, as listed in Alexandria via LeMat-Bulk.

Output
- Space group: C2/m
- Calculated formation energy: 50 meV/atom
- DOS(E_F): 0.362 states/eV/atom
- E_tot: -1.4234 eV per atom
- Crystal system: monoclinic

Geometry as POSCAR:
```
CdIn2Sn2Hg6
1.0
8.194 -3.317 0.000
8.194 3.317 0.000
-1.993 0.000 5.490
Cd In Sn Hg
1 2 2 6
Direct
0.000 0.000 0.000
0.406 0.406 0.740
0.594 0.594 0.260
0.252 0.252 0.979
0.748 0.748 0.021
0.169 0.665 0.285
0.194 0.194 0.410
0.335 0.831 0.715
0.665 0.169 0.285
0.806 0.806 0.590
0.831 0.335 0.715
```

=====

(4)
First-principles (PBE) data for a relaxed CdIn2Sn2Hg2 crystal, as listed in Alexandria via LeMat-Bulk.

Output
- Space group: C2/m
- Calculated formation energy: 75 meV/atom
- DOS(E_F): 0.292 states/eV/atom
- E_tot: -2.0685 eV per atom
- Crystal system: monoclinic

Geometry as POSCAR:
```
CdIn2Sn2Hg2
1.0
4.855 -2.849 0.000
4.855 2.849 0.000
-0.657 0.000 7.213
Cd In Sn Hg
1 2 2 2
Direct
0.000 0.000 0.000
0.321 0.321 0.061
0.679 0.679 0.939
0.421 0.421 0.667
0.579 0.579 0.333
0.145 0.145 0.421
0.855 0.855 0.579
```

=====

(5)
First-principles (PBE) data for a relaxed Cd2In3SnHg3 crystal, as listed in Alexandria via LeMat-Bulk.

Output
- Space group: P-62m
- Calculated formation energy: 34 meV/atom
- DOS(E_F): 0.199 states/eV/atom
- E_tot: -1.6271 eV per atom
- Crystal system: hexagonal

Geometry as POSCAR:
```
Cd2In3SnHg3
1.0
8.362 0.000 0.000
-4.181 7.242 0.000
0.000 0.000 3.974
Cd In Sn Hg
2 3 1 3
Direct
0.333 0.667 0.000
0.667 0.333 0.000
0.000 0.718 0.000
0.282 0.282 0.000
0.718 0.000 0.000
0.000 0.000 0.500
0.000 0.401 0.500
0.401 0.000 0.500
0.599 0.599 0.500
```

=====

(6)
First-principles (PBE) data for a relaxed Cd2InSn2Hg2 crystal, as listed in Alexandria via LeMat-Bulk.

Output
- Space group: C2/m
- Calculated formation energy: 78 meV/atom
- DOS(E_F): 0.392 states/eV/atom
- E_tot: -1.8050 eV per atom
- Crystal system: monoclinic

Geometry as POSCAR:
```
Cd2InSn2Hg2
1.0
4.980 -2.289 0.000
4.980 2.289 0.000
-3.288 0.000 8.828
Cd In Sn Hg
2 1 2 2
Direct
0.188 0.188 0.236
0.812 0.812 0.764
0.500 0.500 0.000
0.150 0.150 0.863
0.850 0.850 0.137
0.157 0.157 0.537
0.843 0.843 0.463
```

=====

(7)
First-principles (PBE) data for a relaxed Cd4In2SnHg2 crystal, as listed in Alexandria via LeMat-Bulk.

Output
- Space group: C2/m
- Calculated formation energy: 41 meV/atom
- DOS(E_F): 0.415 states/eV/atom
- E_tot: -1.4863 eV per atom
- Crystal system: monoclinic

Geometry as POSCAR:
```
Cd4In2SnHg2
1.0
8.026 -1.693 0.000
8.026 1.693 0.000
-0.093 0.000 8.248
Cd In Sn Hg
4 2 1 2
Direct
0.052 0.052 0.164
0.281 0.281 0.836
0.719 0.719 0.164
0.948 0.948 0.836
0.166 0.166 0.502
0.834 0.834 0.498
0.500 0.500 0.500
0.387 0.387 0.153
0.613 0.613 0.847
```

=====

(8)
First-principles (PBE) data for a relaxed Cd4InSnHg2 crystal, as listed in Alexandria via LeMat-Bulk.

Output
- Space group: P2/m
- Calculated formation energy: 41 meV/atom
- DOS(E_F): 0.335 states/eV/atom
- E_tot: -1.3344 eV per atom
- Crystal system: monoclinic

Geometry as POSCAR:
```
Cd4InSnHg2
1.0
5.224 0.000 0.000
0.000 3.975 0.000
-2.431 0.000 9.667
Cd In Sn Hg
4 1 1 2
Direct
0.024 0.000 0.255
0.476 0.500 0.745
0.524 0.500 0.255
0.976 0.000 0.745
0.000 0.500 0.000
0.500 0.000 0.000
0.000 0.500 0.500
0.500 0.000 0.500
```

=====

(9)
First-principles (PBE) data for a relaxed CdIn2Sn2Hg4 crystal, as listed in Alexandria via LeMat-Bulk.

Output
- Space group: C2/m
- Calculated formation energy: 50 meV/atom
- DOS(E_F): 0.377 states/eV/atom
- E_tot: -1.6838 eV per atom
- Crystal system: monoclinic

Geometry as POSCAR:
```
CdIn2Sn2Hg4
1.0
8.357 -1.796 0.000
8.357 1.796 0.000
-3.522 0.000 7.802
Cd In Sn Hg
1 2 2 4
Direct
0.000 0.000 0.000
0.337 0.337 0.018
0.663 0.663 0.982
0.140 0.140 0.639
0.860 0.860 0.361
0.193 0.193 0.317
0.477 0.477 0.681
0.523 0.523 0.319
0.807 0.807 0.683
```

=====

(10)
First-principles (PBE) data for a relaxed Cd2InSnHg8 crystal, as listed in Alexandria via LeMat-Bulk.

Output
- Space group: P-3m1
- Calculated formation energy: 81 meV/atom
- DOS(E_F): 0.358 states/eV/atom
- E_tot: -0.8344 eV per atom
- Crystal system: trigonal

Geometry as POSCAR:
```
Cd2InSnHg8
1.0
6.759 0.000 0.000
-3.379 5.853 0.000
0.000 0.000 8.378
Cd In Sn Hg
2 1 1 8
Direct
0.333 0.667 0.438
0.667 0.333 0.562
0.000 0.000 0.000
0.000 0.000 0.500
0.182 0.363 0.752
0.182 0.818 0.752
0.333 0.667 0.086
0.363 0.182 0.248
0.637 0.818 0.752
0.667 0.333 0.914
0.818 0.182 0.248
0.818 0.637 0.248
```

=====

(11)
First-principles (PBE) data for a relaxed SrCd2InHg6 crystal, as listed in Alexandria via LeMat-Bulk.

Output
- Space group: C2/c
- Calculated formation energy: -139 meV/atom
- DOS(E_F): 0.277 states/eV/atom
- E_tot: -0.9456 eV per atom
- Crystal system: monoclinic

Geometry as POSCAR:
```
SrCd2InHg6
1.0
6.698 -7.666 0.000
6.698 7.666 0.000
-0.024 0.000 5.241
Sr Cd In Hg
2 4 2 12
Direct
0.117 0.883 0.750
0.883 0.117 0.250
0.233 0.545 0.746
0.455 0.767 0.754
0.545 0.233 0.246
0.767 0.455 0.254
0.271 0.729 0.250
0.729 0.271 0.750
0.047 0.426 0.249
0.089 0.229 0.751
0.229 0.089 0.251
0.339 0.426 0.244
0.426 0.047 0.749
0.426 0.339 0.744
0.574 0.661 0.256
0.574 0.953 0.251
0.661 0.574 0.756
0.771 0.911 0.749
0.911 0.771 0.249
0.953 0.574 0.751
```

=====

(12)
First-principles (PBE) data for a relaxed Sr2Cd4In3Hg crystal, as listed in Alexandria via LeMat-Bulk.

Output
- Space group: P-4m2
- Calculated formation energy: -268 meV/atom
- DOS(E_F): 0.534 states/eV/atom
- E_tot: -1.8222 eV per atom
- Crystal system: tetragonal

Geometry as POSCAR:
```
Sr2Cd4In3Hg
1.0
4.798 0.000 0.000
0.000 4.798 0.000
0.000 0.000 12.259
Sr Cd In Hg
2 4 3 1
Direct
0.000 0.500 0.250
0.500 0.000 0.750
0.000 0.000 0.000
0.000 0.500 0.636
0.500 0.000 0.364
0.500 0.500 0.000
0.000 0.500 0.865
0.500 0.000 0.135
0.500 0.500 0.500
0.000 0.000 0.500
```